Below is a relaxed TlNCl3 crystal, with properties calculated at the PBE level.

## Properties
size of the total moment: 2.95 μB per formula unit
uncorrected formation energy: 0.554 eV/atom
DFT total energy: -2.693 eV per atom
symmetry: P-1
energy relative to the lowest polymorph listed for this composition: 82 meV per atom

a b c (Å): 5.259 7.709 8.468
angles (deg): 90.35 107.91 90.00
Positions (direct):
Tl (0.001, 0.250, 0.002)
Tl (0.999, 0.750, 0.998)
N (0.285, 0.751, 0.568)
N (0.715, 0.249, 0.432)
Cl (0.111, 0.006, 0.224)
Cl (0.111, 0.497, 0.224)
Cl (0.475, 0.250, 0.951)
Cl (0.525, 0.750, 0.049)
Cl (0.889, 0.503, 0.776)
Cl (0.889, 0.994, 0.776)

***

Below is a relaxed TlN3Cl12 crystal, with properties calculated at the PBE level.

## Properties
size of the total moment: 0.00 μB per formula unit
uncorrected formation energy: 0.242 eV/atom
DFT total energy: -2.852 eV per atom
symmetry: R3c

a b c (Å): 15.272 15.272 15.272
angles (deg): 39.31 39.31 39.31
Positions (direct):
Tl (0.000, 0.000, 0.000)
Tl (0.500, 0.500, 0.500)
N (0.118, 0.452, 0.693)
N (0.193, 0.952, 0.618)
N (0.452, 0.693, 0.118)
N (0.618, 0.193, 0.952)
N (0.693, 0.118, 0.452)
N (0.952, 0.618, 0.193)
Cl (0.006, 0.564, 0.604)
Cl (0.064, 0.506, 0.104)
Cl (0.104, 0.064, 0.506)
Cl (0.169, 0.779, 0.765)
Cl (0.265, 0.279, 0.669)
Cl (0.269, 0.867, 0.865)
Cl (0.279, 0.669, 0.265)
Cl (0.365, 0.367, 0.769)
Cl (0.367, 0.769, 0.365)
Cl (0.393, 0.901, 0.497)
Cl (0.401, 0.893, 0.997)
Cl (0.497, 0.393, 0.901)
Cl (0.506, 0.104, 0.064)
Cl (0.564, 0.604, 0.006)
Cl (0.604, 0.006, 0.564)
Cl (0.669, 0.265, 0.279)
Cl (0.765, 0.169, 0.779)
Cl (0.769, 0.365, 0.367)
Cl (0.779, 0.765, 0.169)
Cl (0.865, 0.269, 0.867)
Cl (0.867, 0.865, 0.269)
Cl (0.893, 0.997, 0.401)
Cl (0.901, 0.497, 0.393)
Cl (0.997, 0.401, 0.893)

***

Below is a relaxed Tl3N2Cl2 crystal, with properties calculated at the PBE level.

## Properties
size of the total moment: 0.00 μB per formula unit
uncorrected formation energy: -0.409 eV/atom
DFT total energy: -4.329 eV per atom
symmetry: C2/m

a b c (Å): 17.713 3.886 5.600
angles (deg): 90.00 99.88 90.00
Positions (direct):
Tl (0.000, 0.000, 0.000)
Tl (0.169, 0.000, 0.687)
Tl (0.331, 0.500, 0.313)
Tl (0.500, 0.500, 0.000)
Tl (0.669, 0.500, 0.687)
Tl (0.831, 0.000, 0.313)
N (0.020, 0.500, 0.593)
N (0.480, 0.000, 0.407)
N (0.520, 0.000, 0.593)
N (0.980, 0.500, 0.407)
Cl (0.159, 0.500, 0.137)
Cl (0.341, 0.000, 0.863)
Cl (0.659, 0.000, 0.137)
Cl (0.841, 0.500, 0.863)

***

Below is a relaxed Tl3N2Cl4 crystal, with properties calculated at the PBE level.

## Properties
size of the total moment: 0.00 μB per formula unit
uncorrected formation energy: -0.614 eV/atom
DFT total energy: -4.073 eV per atom
symmetry: C2/c

a b c (Å): 8.405 8.405 9.334
angles (deg): 104.60 104.60 67.03
Positions (direct):
Tl (0.045, 0.955, 0.750)
Tl (0.192, 0.495, 0.182)
Tl (0.495, 0.192, 0.682)
Tl (0.505, 0.808, 0.318)
Tl (0.808, 0.505, 0.818)
Tl (0.955, 0.045, 0.250)
N (0.029, 0.542, 0.546)
N (0.458, 0.971, 0.954)
N (0.542, 0.029, 0.046)
N (0.971, 0.458, 0.454)
Cl (0.175, 0.320, 0.829)
Cl (0.235, 0.757, 0.051)
Cl (0.243, 0.765, 0.449)
Cl (0.320, 0.175, 0.329)
Cl (0.680, 0.825, 0.671)
Cl (0.757, 0.235, 0.551)
Cl (0.765, 0.243, 0.949)
Cl (0.825, 0.680, 0.171)

***

Below is a relaxed TlNCl3 crystal, with properties calculated at the PBE level.

## Properties
size of the total moment: 2.93 μB per formula unit
uncorrected formation energy: 0.648 eV/atom
DFT total energy: -2.599 eV per atom
symmetry: Pm-3m
energy relative to the lowest polymorph listed for this composition: 176 meV per atom

a b c (Å): 5.282 5.282 5.282
angles (deg): 90.00 90.00 90.00
Positions (direct):
Tl (0.000, 0.000, 0.000)
N (0.500, 0.500, 0.500)
Cl (0.000, 0.000, 0.500)
Cl (0.000, 0.500, 0.000)
Cl (0.500, 0.000, 0.000)

***

Below is a relaxed Tl2N2Cl3 crystal, with properties calculated at the PBE level.

## Properties
size of the total moment: 0.00 μB per formula unit
uncorrected formation energy: 0.360 eV/atom
DFT total energy: -3.486 eV per atom
symmetry: P-1

a b c (Å): 3.962 4.026 12.383
angles (deg): 81.63 83.44 60.56
Positions (direct):
Tl (0.104, 0.178, 0.179)
Tl (0.896, 0.822, 0.821)
N (0.235, 0.185, 0.764)
N (0.765, 0.815, 0.236)
Cl (0.262, 0.239, 0.621)
Cl (0.500, 0.500, 0.000)
Cl (0.738, 0.761, 0.379)

***

Below is a relaxed TlN3Cl crystal, with properties calculated at the PBE level.

## Properties
size of the total moment: 6.55 μB per formula unit
uncorrected formation energy: 2.558 eV/atom
DFT total energy: -3.280 eV per atom
symmetry: Pm-3m

a b c (Å): 4.491 4.491 4.491
angles (deg): 90.00 90.00 90.00
Positions (direct):
Tl (0.000, 0.000, 0.000)
N (0.000, 0.000, 0.500)
N (0.000, 0.500, 0.000)
N (0.500, 0.000, 0.000)
Cl (0.500, 0.500, 0.500)

***

Below is a relaxed TlN2Cl2 crystal, with properties calculated at the PBE level.

## Properties
size of the total moment: 0.00 μB per formula unit
uncorrected formation energy: -0.358 eV/atom
DFT total energy: -4.900 eV per atom
symmetry: C2/m

a b c (Å): 10.962 10.962 4.119
angles (deg): 100.04 100.04 134.08
Positions (direct):
Tl (0.218, 0.782, 0.000)
Tl (0.782, 0.218, 0.000)
N (0.206, 0.206, 0.277)
N (0.306, 0.306, 0.172)
N (0.694, 0.694, 0.828)
N (0.794, 0.794, 0.723)
Cl (0.068, 0.421, 0.722)
Cl (0.421, 0.068, 0.722)
Cl (0.579, 0.932, 0.278)
Cl (0.932, 0.579, 0.278)